Here is an optimized crystal structure of AlWNF2 from Alexandria. Energies are from GGA+U.

```
AlWNF2
1.0
4.313 0.000 0.000
0.000 4.313 0.000
0.000 0.000 4.039
Al W N F
1 1 1 2
Direct
0.000 0.000 0.000
0.500 0.500 0.500
0.500 0.500 0.000
0.000 0.500 0.500
0.500 0.000 0.500
```

Properties
- space-group type = No. 123
- magnetization (μB per cell) = 2.0
- energy relative to the lowest polymorph listed for this composition (meV per atom) = 325